Sr2PBr2, relaxed, DFT GGA-PBE; calculated volume = 29.386 Å³/atom; uncorrected formation energy = -1.06 eV per atom
1.0
-7.6337 4.3921 -0.9044
0.5935 -0.7804 -8.7990
-1.8822 -3.2383 0.1603
Sr Br P
4 4 2
Cartesian
-1.9369 -1.3462 -6.1008 Sr
-5.6750 0.7462 -7.7216 Sr
-6.9856 1.7197 -3.4423 Sr
-3.2475 -0.3727 -1.8215 Sr
-2.3521 0.9687 -8.0502 Br
-6.3188 3.3618 -6.2810 Br
-4.6882 2.6431 -1.6532 Br
-0.7215 0.2500 -3.4224 Br
0.0000 0.0000 0.0000 P
-3.5201 1.8059 -4.8517 P